1.
Crystalline Nd8GaRh3I4 at its relaxed geometry, computed with GGA-PBE.

Cell lengths 8.5058, 9.4309, 8.5051 Å; angles 116.79, 120.00, 90.00 degrees
Closest atoms and distances in Å follow each position.
Atoms (fractional coordinates):
1 Rh 0.0000 0.5000 0.5000  6 Nd 2.84-2.90
2 Rh 0.5000 0.5000 0.0000  6 Nd 2.84-2.90
3 Rh 0.5000 0.5000 0.5000  6 Nd 2.84-2.90
4 Nd 0.7304 0.6911 0.4608  3 Rh 2.90
5 Nd 0.7154 0.6865 0.9510  2 Rh 2.84, 1 Ga 2.96
6 Nd 0.2356 0.6865 0.4711  2 Rh 2.84, 1 Ga 2.96
7 Nd 0.7644 0.3135 0.0490  2 Rh 2.84, 1 Ga 2.96
8 Nd 0.2356 0.6865 0.9510  2 Rh 2.84, 1 Ga 2.96
9 Nd 0.7644 0.3135 0.5289  2 Rh 2.84, 1 Ga 2.96
10 Nd 0.2696 0.3089 0.5392  3 Rh 2.90
11 Nd 0.2846 0.3135 0.0490  2 Rh 2.84, 1 Ga 2.96
12 I 0.0000 0.0000 0.0000  6 Nd 3.50-3.56
13 I 0.5000 0.0000 0.5000  6 Nd 3.50-3.56
14 I 0.5000 0.0000 0.0000  6 Nd 3.45
15 I 0.0000 0.0000 0.5000  6 Nd 3.50-3.56
16 Ga 0.0000 0.5000 0.0000  6 Nd 2.96

Computed properties:
E_form (uncorrected) = -860 meV per atom
SG = R-3m (166)
Spin magnetization = 0.000 μB per formula unit
E = -5.20 eV per atom

2.
Crystalline Nd8GaRu3I4 at its relaxed geometry, computed with GGA-PBE.

Cell lengths 8.4563, 9.4596, 8.4561 Å; angles 116.54, 120.00, 90.00 degrees
Closest atoms and distances in Å follow each position.
Atoms (fractional coordinates):
1 Nd 0.7640 0.3166 0.5281  2 Ru 2.81, 1 Ga 2.96
2 Nd 0.2360 0.6834 0.4719  2 Ru 2.81, 1 Ga 2.96
3 Nd 0.2360 0.6832 0.9473  2 Ru 2.81, 1 Ga 2.96
4 Nd 0.7313 0.6937 0.4626  3 Ru 2.90
5 Nd 0.2687 0.3063 0.5374  3 Ru 2.90
6 Nd 0.2887 0.3168 0.0527  2 Ru 2.81, 1 Ga 2.96
7 Nd 0.7640 0.3168 0.0527  2 Ru 2.81, 1 Ga 2.96
8 Nd 0.7113 0.6832 0.9473  2 Ru 2.81, 1 Ga 2.96
9 Ru 0.5000 0.5000 0.5000  6 Nd 2.81-2.90
10 Ru 0.5000 0.5000 0.0000  6 Nd 2.81-2.90
11 Ru 0.0000 0.5000 0.5000  6 Nd 2.81-2.90
12 I 0.5000 0.0000 0.0000  6 Nd 3.46
13 I 0.0000 0.0000 0.5000  6 Nd 3.48-3.59
14 I 0.0000 0.0000 0.0000  6 Nd 3.48-3.59
15 I 0.5000 0.0000 0.5000  6 Nd 3.48-3.59
16 Ga 0.0000 0.5000 0.0000  6 Nd 2.96

Computed properties:
E_form (uncorrected) = -679 meV per atom
SG = R-3m (166)
Spin magnetization = 0.000 μB per formula unit
E = -5.38 eV per atom

3.
Crystalline Nd6GaRu2I3 at its relaxed geometry, computed with GGA-PBE.

Cell lengths 7.3456, 7.3456, 8.4739 Å; angles 98.35, 98.35, 120.04 degrees
Closest atoms and distances in Å follow each position.
Atoms (fractional coordinates):
1 I 0.1639 0.8361 0.5000  6 Nd 3.43-3.57
2 I 0.5000 0.5000 0.5000  6 Nd 3.42-3.57
3 I 0.8361 0.1639 0.5000  6 Nd 3.43-3.57
4 Nd 0.9374 0.5827 0.8110  2 Ru 2.82-2.83, 1 Ga 3.02
5 Nd 0.0626 0.4173 0.1890  2 Ru 2.82-2.83, 1 Ga 3.02
6 Nd 0.2909 0.2909 0.8113  2 Ru 2.83, 1 Ga 3.02
7 Nd 0.5827 0.9374 0.8110  2 Ru 2.82-2.83, 1 Ga 3.02
8 Nd 0.4173 0.0626 0.1890  2 Ru 2.82-2.83, 1 Ga 3.02
9 Nd 0.7091 0.7091 0.1887  2 Ru 2.83, 1 Ga 3.02
10 Ga 0.0000 0.0000 0.0000  6 Nd 3.02
11 Ru 0.6666 0.3334 0.0000  6 Nd 2.82-2.83
12 Ru 0.3334 0.6666 0.0000  6 Nd 2.82-2.83

Computed properties:
E_form (uncorrected) = -693 meV per atom
SG = C2/m (12)
Spin magnetization = 0.000 μB per formula unit
E = -5.26 eV per atom

4.
Crystalline Nd8GaS3I4 at its relaxed geometry, computed with GGA-PBE.

Cell lengths 8.4146, 9.1280, 8.4145 Å; angles 117.45, 120.00, 90.00 degrees
Closest atoms and distances in Å follow each position.
Atoms (fractional coordinates):
1 Nd 0.2726 0.3177 0.5452  3 S 2.81
2 Nd 0.7205 0.6905 0.9555  2 S 2.81, 1 Ga 2.90
3 Nd 0.7274 0.6823 0.4548  3 S 2.81
4 Nd 0.2350 0.6905 0.9555  2 S 2.81, 1 Ga 2.90
5 Nd 0.7650 0.3095 0.0445  2 S 2.81, 1 Ga 2.90
6 Nd 0.7650 0.3095 0.5300  2 S 2.81, 1 Ga 2.90
7 Nd 0.2350 0.6905 0.4700  2 S 2.81, 1 Ga 2.90
8 Nd 0.2795 0.3095 0.0445  2 S 2.81, 1 Ga 2.90
9 I 0.5000 0.0000 0.0000  6 Nd 3.36
10 I 0.0000 0.0000 0.5000  6 Nd 3.43-3.45
11 I 0.5000 0.0000 0.5000  6 Nd 3.43-3.45
12 I 0.0000 0.0000 0.0000  6 Nd 3.43-3.45
13 S 0.5000 0.5000 0.5000  6 Nd 2.81
14 S 0.5000 0.5000 0.0000  6 Nd 2.81
15 S 0.0000 0.5000 0.5000  6 Nd 2.81
16 Ga 0.0000 0.5000 0.0000  6 Nd 2.90

Computed properties:
E_form (uncorrected) = -1323 meV per atom
SG = R-3m (166)
Spin magnetization = 0.000 μB per formula unit
E = -5.06 eV per atom